Entry one
The following is a GGA+U calculation of crystalline AsWI2O at its relaxed geometry, from Alexandria via LeMat-Bulk.

Cell and atoms, written as CIF:
```
data_AsWI2O
_chemical_formula_sum 'As1 W1 I2 O1'
_space_group_name_H-M_alt 'P 1'
_space_group_IT_number 1
_cell_length_a 5.948
_cell_length_b 5.948
_cell_length_c 3.853
_cell_angle_alpha 90.00
_cell_angle_beta 90.00
_cell_angle_gamma 90.00
loop_
_space_group_symop_operation_xyz
'x,y,z'
loop_
_atom_site_label
_atom_site_type_symbol
_atom_site_fract_x
_atom_site_fract_y
_atom_site_fract_z
_atom_site_occupancy
I1 I 0.500 0.000 0.000 1
I2 I 0.000 0.500 0.000 1
As1 As 0.000 0.000 0.000 1
O1 O 0.000 0.000 0.500 1
W1 W 0.500 0.500 0.500 1
```

Properties
The calculation puts the density of states at the Fermi level at 0.377 states/eV per atom. The space group is No. 123. The crystal system is tetragonal.

***

Entry two
The following is a GGA+U calculation of crystalline AsWI2O at its relaxed geometry, from Alexandria via LeMat-Bulk.

Cell and atoms, written as CIF:
```
data_AsWI2O
_chemical_formula_sum 'As1 W1 I2 O1'
_space_group_name_H-M_alt 'P 1'
_space_group_IT_number 1
_cell_length_a 5.885
_cell_length_b 5.885
_cell_length_c 3.861
_cell_angle_alpha 90.00
_cell_angle_beta 90.00
_cell_angle_gamma 90.00
loop_
_space_group_symop_operation_xyz
'x,y,z'
loop_
_atom_site_label
_atom_site_type_symbol
_atom_site_fract_x
_atom_site_fract_y
_atom_site_fract_z
_atom_site_occupancy
I1 I 0.500 0.000 0.000 1
I2 I 0.000 0.500 0.000 1
W1 W 0.000 0.000 0.000 1
As1 As 0.500 0.500 0.500 1
O1 O 0.000 0.000 0.500 1
```

Properties
The calculation puts the density of states at the Fermi level at 0.429 states/eV per atom. The space group is No. 123. The crystal system is tetragonal.

***

Which of them is least stable? Easy: entry one.